[1]
PBE Tm6Fe2Ru, optimized geometry; calculated formation energy = -0.147 eV per atom; volume = 203.2 Å³/f.u.; total DFT energy (no corrections) = -6.04 eV/atom
1.0
-0.802 -7.514 -2.873
5.465 -0.154 5.955
-7.022 2.766 2.898
Tm Ru Fe
12 2 4
Cartesian
-3.253 -3.448 2.212
0.895 -1.454 3.768
0.283 -5.908 -0.518
-2.697 -4.380 -0.949
-0.221 -2.761 0.776
0.339 -0.522 6.929
-2.137 -2.141 5.205
-1.914 -0.214 2.365
-4.467 1.689 3.665
2.109 -6.591 2.315
-2.641 1.005 6.498
-0.444 -4.688 3.615
-0.778 1.306 4.427
0.000 0.000 0.000
-4.517 -1.359 3.453
-4.902 -2.975 0.016
-2.922 -1.773 0.009
2.159 -3.543 2.527

=====

[2]
PBE RbY2Mg2, optimized geometry; calculated formation energy = 0.216 eV per atom; volume = 170.8 Å³/f.u.; relative energy among the computed polymorphs = 0.00 kcal/mol of atoms; total DFT energy (no corrections) = -3.20 eV/atom
1.0
9.889 0.000 0.000
0.000 9.889 0.000
0.000 0.000 3.494
Rb Mg Y
2 4 4
Cartesian
0.000 0.000 0.000
4.944 4.944 0.000
6.610 8.223 1.747
1.666 6.610 1.747
3.278 1.666 1.747
8.223 3.278 1.747
6.139 1.195 0.000
3.750 8.694 0.000
1.195 3.750 0.000
8.694 6.139 0.000

=====

[3]
PBE Ca2Sc2I, optimized geometry; volume = 171.1 Å³/f.u.; relative energy among the computed polymorphs = 5.69 kcal/mol of atoms; energy relative to the elements, uncorrected = 0.136 eV per atom; total DFT energy (no corrections) = -3.51 eV/atom
1.0
-8.022 1.481 -1.725
-0.780 -7.735 -3.015
-1.261 -1.617 4.475
Ca Sc I
4 4 2
Cartesian
-1.516 -2.434 -1.307
-3.422 -6.021 -3.140
-5.380 -0.232 -1.600
-7.285 -3.820 -3.433
-6.358 -6.610 -1.473
-3.704 -1.261 1.208
-7.903 -2.386 -0.381
-2.159 -5.485 0.117
-4.401 -3.127 -2.370
0.000 0.000 0.000

=====

[4]
PBE Pr4WN5, optimized geometry; volume = 161.5 Å³/f.u.; energy relative to the elements, uncorrected = -1.047 eV per atom; total DFT energy (no corrections) = -8.42 eV/atom
1.0
-0.722 -4.934 1.576
2.364 -1.360 5.503
-5.143 -0.996 3.206
N Pr W
5 4 1
Cartesian
-0.304 -2.077 0.663
-1.901 -4.259 3.183
0.643 -1.503 4.300
-1.603 -3.049 7.107
-4.146 -5.805 5.991
-1.716 -5.667 7.567
-1.790 -1.659 2.729
-3.432 -3.318 5.460
-0.075 -4.008 4.836
-0.048 -0.331 0.106

=====

[5]
PBE CuSnBSe2, optimized geometry; volume = 100.9 Å³/f.u.; energy relative to the elements, uncorrected = 0.503 eV per atom; total DFT energy (no corrections) = -3.85 eV/atom
1.0
5.121 0.000 0.000
0.000 3.847 0.000
0.000 0.000 5.121
Sn Se Cu B
1 2 1 1
Cartesian
2.560 1.923 2.560
2.560 0.000 0.000
0.000 0.000 2.560
0.000 0.000 0.000
0.000 1.923 0.000

=====

[6]
PBE CeZrZn17, optimized geometry; calculated formation energy = -0.169 eV per atom; volume = 301.5 Å³/f.u.; total DFT energy (no corrections) = -2.07 eV/atom
1.0
-6.154 2.384 -1.442
-1.761 -4.806 -4.409
-3.449 -3.888 4.316
Zn Zr Ce
17 1 1
Cartesian
-5.333 0.505 0.254
-10.279 -5.707 -1.388
-9.605 -4.375 -3.620
-8.291 -7.421 -0.823
-10.425 -3.929 0.618
-7.061 -1.010 -1.260
-4.839 0.236 -2.301
-2.953 -4.136 1.713
-5.704 -4.157 1.628
-4.404 -5.152 -0.310
-5.666 -2.225 -2.996
-3.063 -2.670 -3.500
-2.271 -4.507 -1.814
-4.857 -4.617 -2.748
-6.454 -1.797 1.075
-1.191 -0.661 -0.161
-4.240 -2.030 2.581
-3.766 -2.091 -0.509
-7.546 -4.190 -1.019

=====

[7]
PBE Ca2ZrBr, optimized geometry; volume = 128.1 Å³/f.u.; relative energy among the computed polymorphs = 16.65 kcal/mol of atoms; energy relative to the elements, uncorrected = 0.248 eV per atom; total DFT energy (no corrections) = -3.31 eV/atom
1.0
-4.754 -1.946 2.370
-4.660 -0.664 -3.140
-1.857 -5.198 -1.241
Zr Ca Br
1 2 1
Cartesian
-5.636 -3.904 -1.006
-2.818 -1.952 -0.503
-8.454 -5.856 -1.508
0.000 0.000 0.000

=====

[8]
PBE ZnCd2Cl, optimized geometry; volume = 91.3 Å³/f.u.; relative energy among the computed polymorphs = 2.59 kcal/mol of atoms; energy relative to the elements, uncorrected = -0.134 eV per atom; total DFT energy (no corrections) = -1.37 eV/atom
1.0
-5.543 1.498 1.387
-3.764 -1.194 -4.393
3.759 -2.022 4.084
Cd Zn Cl
2 1 1
Cartesian
-2.243 -1.534 -0.879
-9.047 0.296 -2.923
-3.144 -0.189 2.008
-5.074 0.166 -1.639

=====

| no. | D(E_F) (states/eV per cell) |
| --- | --- |
| 1 | 15.116 |
| 2 | 17.191 |
| 3 | 7.736 |
| 4 | 2.639 |
| 5 | 1.849 |
| 6 | 10.830 |
| 7 | 2.015 |
| 8 | 1.297 |